No. 1
5
Lattice="4.6718 0.0000 0.0000 0.0000 4.6718 0.0000 0.0000 0.0000 4.6718" Properties=species:S:1:pos:R:3 comment="LiCuCl3 (SCAN, PBEsol geometry)" e_form_raw_kcal_per_mol_atoms=-22.03 pbc="T T T"
Li 0.0000 0.0000 0.0000
Cu 2.3359 2.3359 2.3359
Cl 0.0000 2.3359 2.3359
Cl 2.3359 0.0000 2.3359
Cl 2.3359 2.3359 0.0000

***

No. 2
5
Lattice="5.5355 0.0000 0.0000 0.0000 5.5355 0.0000 0.0000 0.0000 5.0559" Properties=species:S:1:pos:R:3 comment="NaPtI2Cl (SCAN, PBEsol geometry)" e_form_raw_kcal_per_mol_atoms=18.56 pbc="T T T"
Na 0.0000 0.0000 0.0000
Pt 0.0000 0.0000 2.5280
I 0.0000 2.7677 0.0000
I 2.7677 0.0000 0.0000
Cl 2.7677 2.7677 2.5280

***

No. 3
5
Lattice="-2.0966 2.0966 10.3379 2.0966 -2.0966 10.3379 2.0966 2.0966 -10.3379" Properties=species:S:1:pos:R:3 comment="Ba2Mg2Hg (SCAN, PBEsol geometry)" formation_enthalpy_0k_mev_per_atom=-169 pbc="T T T"
Ba 0.0000 0.0000 1.9563
Ba 0.0000 0.0000 18.7196
Mg 2.0966 0.0000 5.1690
Mg 0.0000 2.0966 5.1690
Hg 0.0000 0.0000 10.3379

***

No. 4
5
Lattice="-2.2385 2.2385 8.2039 2.2385 -2.2385 8.2039 2.2385 2.2385 -8.2039" Properties=species:S:1:pos:R:3 comment="LaBi2Pb2 (SCAN, PBEsol geometry)" formation_enthalpy_0k_mev_per_atom=-349 pbc="T T T"
La 0.0000 0.0000 0.0000
Bi 0.0000 0.0000 6.6767
Bi 0.0000 0.0000 9.7312
Pb 2.2385 0.0000 4.1020
Pb 0.0000 2.2385 4.1020

***

No. 5
5
Lattice="5.6374 0.0000 0.0000 0.0000 5.6374 0.0000 0.0000 0.0000 5.5817" Properties=species:S:1:pos:R:3 comment="KBSCl2 (SCAN, PBEsol geometry)" e_above_lowest_polymorph_mev_per_atom=1477 e_form_raw_kcal_per_mol_atoms=22.75 pbc="T T T"
K 0.0000 0.0000 0.0000
B 2.8187 2.8187 2.7908
S 0.0000 0.0000 2.7908
Cl 0.0000 2.8187 0.0000
Cl 2.8187 0.0000 0.0000

***

No. 6
4
Lattice="0.0000 3.5973 3.5973 3.5973 0.0000 3.5973 3.5973 3.5973 0.0000" Properties=species:S:1:pos:R:3 comment="BaReSn2 (SCAN, PBEsol geometry)" formation_enthalpy_0k_mev_per_atom=620 pbc="T T T"
Ba 0.0000 0.0000 0.0000
Re 3.5973 3.5973 3.5973
Sn 1.7987 1.7987 1.7987
Sn 5.3960 5.3960 5.3960

***

No. 7
4
Lattice="3.1240 0.0000 0.0000 0.0000 3.1240 0.0000 0.0000 0.0000 5.8573" Properties=species:S:1:pos:R:3 comment="Zn2TcMo (SCAN, PBEsol geometry)" e_above_lowest_polymorph_mev_per_atom=0 formation_enthalpy_0k_mev_per_atom=3 pbc="T T T"
Zn 0.0000 0.0000 0.0000
Zn 1.5620 1.5620 1.3177
Tc 1.5620 1.5620 4.2332
Mo 0.0000 0.0000 2.9892

***

No. 8
5
Lattice="5.0303 0.0000 0.0000 0.0000 5.0303 0.0000 0.0000 0.0000 5.0329" Properties=species:S:1:pos:R:3 comment="HfAgMoSe2 (SCAN, PBEsol geometry)" e_form_raw_kcal_per_mol_atoms=16.11 pbc="T T T"
Hf 0.0000 0.0000 0.0000
Ag 2.5152 2.5152 2.5164
Mo 0.0000 0.0000 2.5164
Se 0.0000 2.5152 0.0000
Se 2.5152 0.0000 0.0000

***

Number 1: energy -9.26 eV per atom, D(E_F) 1.30 states/eV/cell. Number 2: energy -30.37 eV per atom, D(E_F) 4.99 states/eV/cell. Number 3: energy -31.61 eV per atom, D(E_F) 4.31 states/eV/cell. Number 4: energy -70.71 eV per atom, D(E_F) 2.06 states/eV/cell. Number 5: energy -7.28 eV per atom, D(E_F) 3.26 states/eV/cell. Number 6: energy -45.00 eV per atom, D(E_F) 4.12 states/eV/cell. Number 7: energy -24.24 eV per atom, D(E_F) 2.10 states/eV/cell. Number 8: energy -33.12 eV per atom, D(E_F) 3.09 states/eV/cell.